# Cd3SbAs

A relaxed Cd3SbAs crystal (PBE-GGA, Alexandria).

It has space group Pm-3m (No. 221), with a = 5.242 Å, b = 5.242 Å, c = 5.242 Å, α = 90.00°, β = 90.00° and γ = 90.00°. The asymmetric unit holds Cd at (0.000, 0.000, 0.500), Sb at (0.500, 0.500, 0.500) and As at (0.000, 0.000, 0.000).

The value obtained for the total energy is -9.875 eV for the cell shown. The energy above the lowest structure with this stoichiometry is 357 meV/atom. The formation energy (no corrections) is 0.328 eV per atom.